# 1
! TaAl2As (PBE, optimized geometry); values from VASP
! spin magnetization: 0.000 μB/cell
! total energy: -24.3 eV per cell
! energy of formation: -0.0692 eV per atom
&SYSTEM
  ibrav = 0, nat = 4, ntyp = 3
/
ATOMIC_SPECIES
Al 26.98 Al.upf
As 74.92 As.upf
Ta 180.95 Ta.upf
CELL_PARAMETERS angstrom
-2.5854 -3.4456 2.7706
2.1997 -4.6241 -0.1091
0.9929 4.8583 1.2820
ATOMIC_POSITIONS crystal
Al 0.9938 0.9938 0.0000
Al 0.7461 0.2461 0.5000
As 0.5011 0.5011 0.0000
Ta 0.2591 0.7591 0.5000

# 2
! Rb2BaTaPb (PBE, optimized geometry); values from VASP
! spin magnetization: 0.747 μB/cell
! total energy: -11.8 eV per cell
! energy of formation: 1.5285 eV per atom
&SYSTEM
  ibrav = 0, nat = 5, ntyp = 4
/
ATOMIC_SPECIES
Ba 137.33 Ba.upf
Rb 85.47 Rb.upf
Pb 207.20 Pb.upf
Ta 180.95 Ta.upf
CELL_PARAMETERS angstrom
-1.2894 6.1170 -2.3384
-2.6596 -2.1647 -4.1960
-5.6705 0.1492 3.5172
ATOMIC_POSITIONS crystal
Ba 0.0000 0.0000 0.0000
Rb 0.5000 0.0000 0.0000
Rb 0.0000 0.0000 0.5000
Pb 0.5000 0.5000 0.5000
Ta 0.0000 0.5000 0.0000

# 3
! LaV2Ru (PBE, optimized geometry); values from VASP
! spin magnetization: 0.000 μB/cell
! total energy: -31.1 eV per cell
! E above lowest polymorph: 0.0 meV/atom
! energy of formation: 0.3269 eV per atom
&SYSTEM
  ibrav = 0, nat = 4, ntyp = 3
/
ATOMIC_SPECIES
Ru 101.07 Ru.upf
V 50.94 V.upf
La 138.91 La.upf
CELL_PARAMETERS angstrom
-4.4699 0.3739 0.7177
-2.8724 0.0104 -3.5191
-2.7221 -3.5646 -0.7206
ATOMIC_POSITIONS crystal
Ru 0.0000 0.0000 0.0000
V 0.7500 0.7500 0.7500
V 0.2500 0.2500 0.2500
La 0.5000 0.5000 0.5000

Taking the records one at a time from the top gives Fermi-level density of states values of 1.829; 6.097; 5.025 states/eV/cell.